Entry 1:
The following is a DFT calculation (GGA-PBE) of a relaxed structure of PaSnPbO6.

```
18
Lattice="-0.1473 2.8927 -4.9006 1.5360 -5.4814 0.0245 -9.4609 -2.6569 -1.2839" Properties=species:S:1:pos:R:3 pbc="T T T"
Pb 0.0000 0.0000 0.0000
O -0.4138 -1.9849 -3.3467
Sn -6.1207 -4.6827 -2.5801
O -2.9472 -1.8361 -2.2278
O -0.9073 0.5770 -5.0121
O -5.1250 -3.4094 -3.9321
Pb -4.7304 -1.3284 -0.6420
O -7.6583 -3.2606 -2.8133
O -1.3347 0.6176 -1.9468
Pa -1.3903 -3.3542 -1.9381
Pa -6.6819 -1.8913 -4.2218
O -5.4762 -3.6407 -0.8656
O -3.5095 0.8542 -3.6514
O -4.5626 -6.0997 -2.5085
Sn -1.9514 -0.5629 -3.5799
O -6.7375 -5.8631 -4.2132
O -7.1649 -5.8225 -1.1479
O -2.5960 -1.6048 -5.2944
```

Its uncorrected formation energy is -2.0675 eV/atom. The calculation puts the total energy at -0.535 Ry/atom.



Entry 2:
The following is a DFT calculation (GGA-PBE) of a relaxed structure of PaSnPb2O6.

```
10
Lattice="-3.1248 -1.2766 2.7538 1.7306 -5.7707 -0.7114 3.8564 0.5837 4.6465" Properties=species:S:1:pos:R:3 pbc="T T T"
O 0.0956 -5.0999 2.4941
Pb 0.6814 -2.9605 -0.1936
O -0.4990 -0.2038 0.4397
O -0.7903 -2.1457 2.8583
Sn -1.9870 -0.8118 1.7511
O 2.0698 -4.8011 4.8728
Pa 0.8123 -3.4029 3.7134
O 1.1839 -1.8469 5.2369
O 2.3480 -2.7755 2.3601
Pb 1.7443 0.2167 2.4853
```

Its uncorrected formation energy is -1.9223 eV/atom. The calculation puts the total energy at -0.514 Ry/atom.



Entry 3:
The following is a DFT calculation (GGA-PBE) of a relaxed structure of Pa2SnPbO8.

```
12
Lattice="-0.7840 -1.3480 4.8683 4.9535 0.6033 1.1178 -1.2238 6.8825 1.7085" Properties=species:S:1:pos:R:3 pbc="T T T"
O 0.7652 3.1939 2.8367
Pb -0.6119 3.4412 0.8542
O 2.1806 2.9438 4.8579
Pa 1.1614 4.8207 4.2821
O 0.1169 0.4867 4.4722
O 3.5400 1.6521 2.2300
Pa 1.7843 1.3171 3.4124
Sn 0.0000 0.0000 0.0000
O 0.0539 6.6537 3.5448
O -0.5943 4.4856 5.4646
O 2.8289 5.6510 3.2224
O 2.8919 -0.5160 4.1498
```

Its uncorrected formation energy is -2.6393 eV/atom. The calculation puts the total energy at -0.600 Ry/atom.